Below is RePAu after structural relaxation, with properties calculated at the GGA-PBE level.

The value obtained for the total magnetization is 0.0 μB per cell. As for the calculated density: 14.015 g/cm3. The value obtained for the formation energy is 0.154 eV per atom. The energy above the lowest structure with this stoichiometry is 0.00 kJ per mole of atoms.

It has space group P3m1 (No. 156), with a = 2.9308 Å, b = 2.9308 Å, c = 6.5962 Å, α = 90.00°, β = 90.00° and γ = 120.00°. Symmetry generates all atoms from Re at (0.0000, 0.0000, 0.0000), P at (0.3333, 0.6667, 0.7512) and Au at (0.6667, 0.3333, 0.3659).